No. 1
VASP calculation (GGA-PBE) on Sr2Ta after structural relaxation.

a = 6.8829 Å, b = 6.8829 Å, c = 6.8829 Å
α = 98.50°, β = 98.50°, γ = 134.79°
Fractional positions:
Sr 0.3389 0.1611 0.5000
Sr 0.6611 0.8389 0.5000
Sr 0.1611 0.6611 0.8222
Sr 0.8389 0.3389 0.1778
Ta 0.2500 0.2500 0.0000
Ta 0.7500 0.7500 0.0000

Calculated values
The calculation puts the density of states at the Fermi level at 1.0478 states/eV/atom. The formation enthalpy at 0 K comes out at 0.696 eV per atom. The space-group type is I4/mcm. The value obtained for the excess energy over the best structure of this formula in the dataset is 83 meV/atom.


No. 2
VASP calculation (GGA-PBE) on HgBiSe2 after structural relaxation.

a = 9.2197 Å, b = 9.2197 Å, c = 9.2197 Å
α = 24.63°, β = 24.63°, γ = 24.63°
Fractional positions:
Bi 0.0000 0.0000 0.0000
Se 0.8940 0.8940 0.8940
Se 0.1060 0.1060 0.1060
Hg 0.5000 0.5000 0.5000

Calculated values
The calculation puts the density of states at the Fermi level at 1.0031 states/eV/atom. The value obtained for the formation energy from raw total energies is 0.10 eV per atom. The space-group type is R-3m. The value obtained for the excess energy over the best structure of this formula in the dataset is 282 meV/atom.


No. 3
VASP calculation (GGA-PBE) on TaNi2W after structural relaxation.

a = 4.3291 Å, b = 4.3291 Å, c = 4.3291 Å
α = 60.00°, β = 60.00°, γ = 60.00°
Fractional positions:
Ni 0.0000 0.0000 0.0000
Ni 0.2500 0.2500 0.2500
Ta 0.5000 0.5000 0.5000
W 0.7500 0.7500 0.7500

Calculated values
The calculation puts the density of states at the Fermi level at 1.6153 states/eV/atom. The formation enthalpy at 0 K comes out at 0.228 eV per atom. The space-group type is F-43m.